The following is a GGA-PBE calculation of a relaxed Li3U6Se14 crystal, from Alexandria.

abc: 10.0513 10.0513 6.0134
angles: 90.00 90.00 120.00
Space group P3 (No. 143)
Asymmetric unit:
Li 0.0000 0.0000 0.0000 x1
Li 0.3333 0.6667 0.1282 x1
Li 0.6667 0.3333 0.4995 x1
U 0.1063 0.2925 0.4010 x3
U 0.4802 0.4393 0.9014 x3
Se 0.0000 0.0000 0.6044 x1
Se 0.0797 0.5614 0.3713 x3
Se 0.1845 0.4141 0.8755 x3
Se 0.2587 0.1563 0.1561 x3
Se 0.4078 0.1768 0.6556 x3
Se 0.6667 0.3333 0.1035 x1

Summary:
Final energy   -147.77 eV/f.u.
Total magnetic moment   10.998 Bohr magnetons per cell

***

The following is a GGA-PBE calculation of a relaxed Li2USe3 crystal, from Alexandria.

abc: 4.054 11.859 5.634
angles: 90.00 90.00 90.00
Space group Pmmn (No. 59, origin choice 2)
Asymmetric unit:
Li 0.250 0.089 0.247 x4
U 0.250 0.750 0.251 x2
Se 0.250 0.084 0.749 x4
Se 0.250 0.750 0.752 x2

Summary:
ΔE to the lowest computed polymorph   0 meV/atom
Total magnetic moment   4.000 Bohr magnetons per cell

***

The following is a GGA-PBE calculation of a relaxed Li4U3Se8 crystal, from Alexandria.

abc: 8.1523 8.1523 20.6258
angles: 90.00 90.00 120.00
Space group R-3m (No. 166, hexagonal axes)
Asymmetric unit:
Li 0.0000 0.0000 0.0000 x3
Li 0.0000 0.0000 0.1345 x6
Li 0.0000 0.0000 0.5000 x3
U 0.0000 0.5000 0.0000 x9
Se 0.0000 0.0000 0.2565 x6
Se 0.0058 0.5029 0.2560 x18

Summary:
ΔE to the lowest computed polymorph   0 meV/atom
Total magnetic moment   18.000 Bohr magnetons per cell

***

The following is a GGA-PBE calculation of a relaxed Li4USe5 crystal, from Alexandria.

abc: 8.722 8.722 5.566
angles: 90.00 90.00 90.00
Space group I4/m (No. 87)
Asymmetric unit:
Li 0.112 0.298 0.000 x8
U 0.000 0.000 0.500 x2
Se 0.000 0.000 0.000 x2
Se 0.090 0.292 0.500 x8

Summary:
Final energy   -47.80 eV/f.u.
Total magnetic moment   0.000 Bohr magnetons per cell

***

The following is a GGA-PBE calculation of a relaxed LiU5Se8 crystal, from Alexandria.

abc: 8.567 8.567 8.760
angles: 90.00 90.00 90.00
Space group I-4 (No. 82)
Asymmetric unit:
Li 0.000 0.000 0.000 x2
U 0.000 0.500 0.750 x2
U 0.122 0.745 0.370 x8
Se 0.075 0.682 0.042 x8
Se 0.077 0.823 0.691 x8

Summary:
Final energy   -102.39 eV/f.u.
Total magnetic moment   30.036 Bohr magnetons per cell

***

The following is a GGA-PBE calculation of a relaxed LiU2Se6 crystal, from Alexandria.

abc: 6.560 6.560 12.053
angles: 90.00 90.00 90.00
Space group P4_2/mnm (No. 136)
Asymmetric unit:
Li 0.000 0.000 0.000 x2
U 0.000 0.000 0.328 x4
Se 0.189 0.189 0.500 x4
Se 0.204 0.204 0.167 x8

Summary:
Final energy   -53.68 eV/f.u.
Total magnetic moment   2.057 Bohr magnetons per cell

***

The following is a GGA-PBE calculation of a relaxed LiUSe2 crystal, from Alexandria.

abc: 3.8847 3.8847 20.9109
angles: 90.00 90.00 120.00
Space group R3m (No. 160, hexagonal axes)
Asymmetric unit:
Li 0.0000 0.0000 0.0000 x3
U 0.0000 0.0000 0.8285 x3
Se 0.0000 0.0000 0.4066 x3
Se 0.0000 0.0000 0.5836 x3

Summary:
Final energy   -24.79 eV/f.u.
Total magnetic moment   9.000 Bohr magnetons per cell

***

The following is a GGA-PBE calculation of a relaxed LiU3Se4 crystal, from Alexandria.

abc: 4.052 4.052 11.358
angles: 90.00 90.00 90.00
Space group P4/mmm (No. 123)
Asymmetric unit:
Li 0.000 0.000 0.000 x1
U 0.000 0.000 0.500 x1
U 0.500 0.500 0.250 x2
Se 0.000 0.000 0.241 x2
Se 0.500 0.500 0.000 x1
Se 0.500 0.500 0.500 x1

Summary:
Final energy   -58.29 eV/f.u.
Total magnetic moment   8.094 Bohr magnetons per cell

***

The following is a GGA-PBE calculation of a relaxed Li3U2Se6 crystal, from Alexandria.

abc: 7.090 12.274 6.762
angles: 90.00 110.85 90.00
Space group C2/m (No. 12)
Asymmetric unit:
Li 0.000 0.000 0.000 x2
Li 0.000 0.335 0.000 x4
U 0.000 0.166 0.500 x4
Se 0.231 0.000 0.757 x4
Se 0.240 0.176 0.253 x8

Summary:
Final energy   -62.12 eV/f.u.
Total magnetic moment   6.000 Bohr magnetons per cell

***

The following is a GGA-PBE calculation of a relaxed Li2USe4 crystal, from Alexandria.

abc: 8.241 8.605 9.655
angles: 90.00 90.00 90.00
Space group Imma (No. 74)
Asymmetric unit:
Li 0.000 0.250 0.200 x4
Li 0.250 0.250 0.750 x4
U 0.000 0.000 0.500 x4
Se 0.000 0.045 0.766 x8
Se 0.211 0.250 0.465 x8

Summary:
ΔE to the lowest computed polymorph   0 meV/atom
Total magnetic moment   0.000 Bohr magnetons per cell

***

The following is a GGA-PBE calculation of a relaxed Li5U3Se8 crystal, from Alexandria.

abc: 8.0595 8.0595 19.4278
angles: 90.00 90.00 120.00
Space group R-3m (No. 166, hexagonal axes)
Asymmetric unit:
Li 0.0000 0.0000 0.0000 x3
Li 0.0000 0.0000 0.5000 x3
Li 0.0000 0.5000 0.0000 x9
U 0.0000 0.5000 0.5000 x9
Se 0.0000 0.0000 0.2541 x6
Se 0.9997 0.4999 0.2499 x18

Summary:
Final energy   -90.76 eV/f.u.
Total magnetic moment   21.000 Bohr magnetons per cell

***

The following is a GGA-PBE calculation of a relaxed Li5USe6 crystal, from Alexandria.

abc: 6.742 11.643 6.722
angles: 90.00 109.38 90.00
Space group C2/m (No. 12)
Asymmetric unit:
Li 0.000 0.000 0.000 x2
Li 0.000 0.167 0.500 x4
Li 0.000 0.336 0.000 x4
U 0.000 0.500 0.500 x2
Se 0.245 0.337 0.751 x8
Se 0.246 0.500 0.258 x4

Summary:
Final energy   -54.62 eV/f.u.
Total magnetic moment   0.002 Bohr magnetons per cell

***

The following is a GGA-PBE calculation of a relaxed Li5USe5 crystal, from Alexandria.

abc: 12.723 5.517 7.741
angles: 90.00 109.68 90.00
Space group C2/m (No. 12)
Asymmetric unit:
Li 0.000 0.000 0.000 x2
Li 0.190 0.500 0.818 x4
Li 0.191 0.500 0.369 x4
U 0.000 0.000 0.500 x2
Se 0.000 0.500 0.500 x2
Se 0.151 0.000 0.317 x4
Se 0.169 0.000 0.830 x4

Summary:
Final energy   -51.29 eV/f.u.
Total magnetic moment   2.000 Bohr magnetons per cell

***

The following is a GGA-PBE calculation of a relaxed LiU6Se12 crystal, from Alexandria.

abc: 11.6893 11.6893 14.0204
angles: 90.00 90.00 120.00
Space group R-3 (No. 148, hexagonal axes)
Asymmetric unit:
Li 0.0000 0.0000 0.0000 x3
U 0.0483 0.2722 0.6990 x18
Se 0.0200 0.2078 0.8959 x18
Se 0.0310 0.1891 0.3805 x18

Summary:
Final energy   -131.52 eV/f.u.
Total magnetic moment   39.000 Bohr magnetons per cell

***

The following is a GGA-PBE calculation of a relaxed Li4U3Se8 crystal, from Alexandria.

abc: 11.037 11.358 7.926
angles: 90.00 133.52 90.00
Space group C2/m (No. 12)
Asymmetric unit:
Li 0.000 0.000 0.000 x2
Li 0.000 0.500 0.500 x2
Li 0.250 0.250 0.000 x4
U 0.000 0.500 0.000 x2
U 0.250 0.250 0.500 x4
Se 0.000 0.245 0.000 x4
Se 0.000 0.254 0.500 x4
Se 0.232 0.500 0.983 x4
Se 0.243 0.000 0.500 x4

Summary:
ΔE to the lowest computed polymorph   46 meV/atom
Total magnetic moment   12.005 Bohr magnetons per cell

***

The following is a GGA-PBE calculation of a relaxed LiU6Se8 crystal, from Alexandria.

abc: 11.474 11.474 11.474
angles: 90.00 90.00 90.00
Space group Fm-3m (No. 225)
Asymmetric unit:
Li 0.000 0.000 0.000 x4
U 0.000 0.250 0.250 x24
Se 0.000 0.000 0.248 x24
Se 0.250 0.250 0.250 x8

Summary:
Final energy   -113.55 eV/f.u.
Total magnetic moment   69.070 Bohr magnetons per cell

***

The following is a GGA-PBE calculation of a relaxed LiU4Se6 crystal, from Alexandria.

abc: 11.3287 11.3287 13.6194
angles: 90.00 90.00 120.00
Space group R-3c (No. 167, hexagonal axes)
Asymmetric unit:
Li 0.0000 0.0000 0.0000 x6
U 0.0000 0.0000 0.2500 x6
U 0.0000 0.3877 0.2500 x18
Se 0.0316 0.2029 0.3892 x36

Summary:
Final energy   -79.61 eV/f.u.
Total magnetic moment   77.964 Bohr magnetons per cell

***

The following is a GGA-PBE calculation of a relaxed Li3U2Se4 crystal, from Alexandria.

abc: 7.602 3.663 9.631
angles: 90.00 109.06 90.00
Space group P2/m (No. 10)
Asymmetric unit:
Li 0.000 0.000 0.000 x1
Li 0.167 0.000 0.714 x2
U 0.324 0.000 0.390 x2
Se 0.042 0.500 0.211 x2
Se 0.381 0.500 0.645 x2

Summary:
Final energy   -50.66 eV/f.u.
Total magnetic moment   6.997 Bohr magnetons per cell

***

The following is a GGA-PBE calculation of a relaxed LiU3Se6 crystal, from Alexandria.

abc: 11.060 13.529 6.902
angles: 90.00 90.00 90.00
Space group Cmc2_1 (No. 36)
Asymmetric unit:
Li 0.000 0.193 0.000 x4
U 0.000 0.397 0.365 x4
U 0.177 0.102 0.471 x8
Se 0.000 0.027 0.190 x4
Se 0.000 0.231 0.633 x4
Se 0.163 0.465 0.668 x8
Se 0.175 0.269 0.197 x8

Summary:
ΔE to the lowest computed polymorph   0 meV/atom
Total magnetic moment   28.001 Bohr magnetons per cell